This record from Alexandria via LeMat-Bulk describes a relaxed structure of Pm3AuO. The functional is PBE.

Geometry as CIF:
```
data_Pm3AuO
_cell_length_a 3.794
_cell_length_b 12.590
_cell_length_c 9.791
_cell_angle_alpha 90.00
_cell_angle_beta 90.00
_cell_angle_gamma 90.00
_symmetry_space_group_name_H-M 'C m c m'
_symmetry_Int_Tables_number 63
_symmetry_space_group_name_Hall '-C 2c 2'
loop_
_atom_site_label
_atom_site_type_symbol
_atom_site_fract_x
_atom_site_fract_y
_atom_site_fract_z
_atom_site_occupancy
Pm1 Pm 0.000 0.058 0.250 1
Pm2 Pm 0.000 0.372 0.057 1
Au1 Au 0.000 0.246 0.750 1
O1 O 0.000 0.000 0.000 1
```

Formation energy without anion corrections, meV/atom: -1454
Final energy, eV/f.u.: -29.76
DOS(E_F), states/eV per atom: 1.10